First-principles (PBE) data for a relaxed CoC3Se crystal, as listed in Alexandria.

Computed properties:
* total magnetic moment: 1.1 μB per formula unit
* symmetry: Pm-3m
* VASP energy: -4.60 eV per atom
* E above lowest polymorph: 4.33 eV/f.u.

Lattice parameters (Å, degrees): 3.832 3.832 3.832 90.00 90.00 90.00
Fractional positions:
1 Co 0.000 0.000 0.000
2 C 0.000 0.500 0.500
3 C 0.500 0.000 0.500
4 C 0.500 0.500 0.000
5 Se 0.500 0.500 0.500